Entry from Alexandria via LeMat-Bulk: AcMg2Ga4Ag after structural relaxation (PBE).

POSCAR file:
```
AcMg2Ga4Ag
1.0
-3.255 0.892 -3.281
-3.531 -3.034 -0.698
-7.332 3.751 4.915
Ac Mg Ga Ag
1 2 4 1
direct
0.000 0.000 0.000 Ac
0.761 0.761 0.716 Mg
0.239 0.239 0.284 Mg
0.400 0.400 0.801 Ga
0.871 0.871 0.387 Ga
0.129 0.129 0.613 Ga
0.600 0.600 0.199 Ga
0.500 0.500 0.500 Ag
```

## Properties
energy of formation = -0.24 eV/atom
total DFT energy (no corrections) = -3.02 eV/atom
symmetry = R-3m (166)